# YMgRh2 PBE-GGA relaxed
data_YMgRh2
_chemical_formula_sum 'Y4 Mg4 Rh8'
_cell_length_a 6.625
_cell_length_b 6.625
_cell_length_c 6.625
_cell_angle_alpha 90.00
_cell_angle_beta 90.00
_cell_angle_gamma 90.00
_symmetry_space_group_name_H-M 'F -4 3 m'
_symmetry_Int_Tables_number 216
_symmetry_space_group_name_Hall 'F -4 2 3'
loop_
_atom_site_label
_atom_site_fract_x
_atom_site_fract_y
_atom_site_fract_z
_atom_site_occupancy
Y1 0.000 0.000 0.000 1
Mg1 0.250 0.250 0.250 1
Rh1 0.000 0.000 0.500 1
Rh2 0.250 0.250 0.750 1
# Size of the total moment ... 0.00 μB/f.u.
# Formation energy from the elements ... -0.260 eV/atom
# E ... -95.201 eV per cell